GGA-PBE TaMnPd2, optimized geometry; relative energy among the computed polymorphs = 33.59 kJ per mole of atoms; electronic total energy = -7.657 eV per atom; space group = I-42d (122); formation enthalpy at 0 K = 195 meV/atom
1.0
-2.717 0.965 -2.491
-2.142 -2.910 1.209
-6.236 4.422 5.600
Pd Mn Ta
4 2 2
direct
0.875 0.867 0.750 Pd
0.375 0.383 0.750 Pd
0.617 0.125 0.250 Pd
0.133 0.625 0.250 Pd
0.500 0.500 0.000 Mn
0.250 0.750 0.500 Mn
0.750 0.250 0.500 Ta
0.000 0.000 0.000 Ta

***

GGA-PBE ScB, optimized geometry; electronic total energy = -6.738 eV per atom; space group = Imm2 (44); formation enthalpy at 0 K = -233 meV/atom
1.0
9.947 0.000 0.000
0.000 3.845 0.000
0.000 0.000 4.837
Sc B
6 6
direct
0.694 0.500 0.681 Sc
0.806 0.000 0.181 Sc
0.500 0.000 0.310 Sc
0.306 0.500 0.681 Sc
0.000 0.500 0.810 Sc
0.194 0.000 0.181 Sc
0.500 0.500 0.978 B
0.360 0.500 0.176 B
0.140 0.000 0.676 B
0.640 0.500 0.176 B
0.860 0.000 0.676 B
0.000 0.000 0.478 B

***

GGA-PBE Pm2BiPt, optimized geometry; relative energy among the computed polymorphs = 3.69 kJ per mole of atoms; electronic total energy = -5.713 eV per atom; space group = P4/mmm (123); formation enthalpy at 0 K = -857 meV/atom
1.0
-3.148 0.377 1.822
1.149 -2.422 2.487
3.225 5.983 4.336
Bi Pm Pt
1 2 1
direct
0.500 0.500 0.500 Bi
0.000 0.000 0.787 Pm
0.000 0.000 0.213 Pm
0.500 0.500 0.000 Pt

***

GGA-PBE Pr3Bi4Au3, optimized geometry; electronic total energy = -4.716 eV per atom; space group = I-43d (220); formation enthalpy at 0 K = -746 meV/atom
1.0
-3.774 1.912 7.930
-1.226 -8.703 -1.881
8.803 1.775 0.366
Pr Au Bi
6 6 8
direct
0.750 0.375 0.625 Pr
0.250 0.125 0.875 Pr
0.125 0.875 0.250 Pr
0.625 0.750 0.375 Pr
0.875 0.250 0.125 Pr
0.375 0.625 0.750 Pr
0.875 0.125 0.750 Au
0.250 0.625 0.375 Au
0.750 0.875 0.125 Au
0.625 0.375 0.250 Au
0.125 0.750 0.875 Au
0.375 0.250 0.625 Au
0.679 0.500 0.000 Bi
0.500 0.000 0.179 Bi
0.000 0.179 0.500 Bi
0.500 0.000 0.679 Bi
0.000 0.679 0.500 Bi
0.179 0.500 0.000 Bi
0.821 0.821 0.821 Bi
0.321 0.321 0.321 Bi

***

GGA-PBE Cr2InAs, optimized geometry; relative energy among the computed polymorphs = 10.29 kJ per mole of atoms; electronic total energy = -6.406 eV per atom; space group = P4/mmm (123); formation enthalpy at 0 K = 252 meV/atom
1.0
3.050 0.000 0.000
0.000 3.050 0.000
0.000 0.000 6.703
Cr As In
2 1 1
direct
0.000 0.000 0.954 Cr
0.000 0.000 0.546 Cr
0.500 0.500 0.750 As
0.500 0.500 0.250 In

***

GGA-PBE CaTi2O4, optimized geometry; relative energy among the computed polymorphs = 8.78 kJ per mole of atoms; electronic total energy = -8.231 eV per atom; space group = I4_1/amd (141)
1.0
0.990 -4.371 -4.017
-2.051 -2.924 4.844
-3.909 4.112 -2.013
Ca O Ti
2 8 4
direct
0.250 0.750 0.500 Ca
0.000 0.000 0.000 Ca
0.792 0.105 0.687 O
0.355 0.168 0.813 O
0.355 0.542 0.187 O
0.895 0.208 0.313 O
0.832 0.645 0.187 O
0.418 0.105 0.313 O
0.458 0.645 0.813 O
0.895 0.582 0.687 O
0.625 0.875 0.250 Ti
0.625 0.375 0.750 Ti
0.125 0.375 0.750 Ti
0.625 0.375 0.250 Ti

***

GGA-PBE Y2GaCu2Rh5, optimized geometry; electronic total energy = -6.586 eV per atom; space group = P4/mbm (127); formation enthalpy at 0 K = -495 meV/atom
1.0
-2.667 0.404 -2.623
6.155 -2.340 -6.620
-2.341 -8.983 0.999
Ga Rh Y Cu
2 10 4 4
direct
0.000 0.500 0.500 Ga
0.000 0.000 0.000 Ga
0.500 0.500 0.000 Rh
0.500 0.566 0.701 Rh
0.500 0.934 0.201 Rh
0.500 0.201 0.066 Rh
0.500 0.000 0.500 Rh
0.500 0.701 0.434 Rh
0.500 0.434 0.299 Rh
0.500 0.799 0.934 Rh
0.500 0.066 0.799 Rh
0.500 0.299 0.566 Rh
0.000 0.826 0.674 Y
0.000 0.674 0.174 Y
0.000 0.174 0.326 Y
0.000 0.326 0.826 Y
0.000 0.876 0.376 Cu
0.000 0.124 0.624 Cu
0.000 0.376 0.124 Cu
0.000 0.624 0.876 Cu

***

GGA-PBE InTcAs2, optimized geometry; electronic total energy = -5.491 eV per atom; space group = Immm (71); formation enthalpy at 0 K = 110 meV/atom
1.0
6.350 0.001 -0.001
3.875 5.031 0.001
-4.620 -3.517 2.571
As In Tc
2 1 1
direct
0.428 0.428 0.000 As
0.072 0.072 0.000 As
0.750 0.250 0.500 In
0.250 0.750 0.500 Tc

***

GGA-PBE Ac8Co3Cl, optimized geometry; electronic total energy = -4.926 eV per atom; space group = R-3m (166)
1.0
8.639 0.000 0.000
-4.320 6.166 -4.243
0.000 -0.298 8.355
Ac Co Cl
8 3 1
direct
0.739 0.017 0.756 Ac
0.261 0.522 0.244 Ac
0.278 0.017 0.756 Ac
0.742 0.485 0.227 Ac
0.739 0.478 0.756 Ac
0.258 0.515 0.773 Ac
0.722 0.983 0.244 Ac
0.261 0.983 0.244 Ac
0.000 0.500 0.000 Co
0.500 0.500 0.000 Co
0.500 0.000 0.000 Co
0.000 0.000 0.000 Cl

***

GGA-PBE K4P2Pt, optimized geometry; relative energy among the computed polymorphs = 59.20 kJ per mole of atoms; electronic total energy = -2.812 eV per atom; space group = P4/mmm (123); formation enthalpy at 0 K = 223 meV/atom
1.0
-8.680 -0.569 -0.448
0.719 -6.127 -6.149
0.029 -2.044 2.040
P K Pt
2 4 1
direct
0.500 0.000 0.500 P
0.000 0.500 0.500 P
0.760 0.760 0.000 K
0.240 0.760 0.000 K
0.240 0.240 0.000 K
0.760 0.240 0.000 K
0.000 0.000 0.000 Pt

***

GGA-PBE HfVReC2, optimized geometry; electronic total energy = -8.050 eV per atom; space group = P4/mmm (123); formation enthalpy at 0 K = 1944 meV/atom
1.0
-3.411 -0.504 -1.797
1.721 -4.258 -2.073
-1.311 -2.017 3.055
V C Hf Re
1 2 1 1
direct
0.000 0.000 0.000 V
0.000 0.000 0.500 C
0.500 0.000 0.000 C
0.000 0.500 0.000 Hf
0.500 0.500 0.500 Re

***

GGA-PBE RbP3Rh, optimized geometry; electronic total energy = -4.496 eV per atom; space group = Pm-3m (221); formation enthalpy at 0 K = 414 meV/atom
1.0
-4.715 -0.195 0.899
0.661 -3.982 2.605
0.640 2.680 3.935
P Rh Rb
3 1 1
direct
0.500 0.000 0.000 P
0.000 0.500 0.000 P
0.000 0.000 0.500 P
0.000 0.000 0.000 Rh
0.500 0.500 0.500 Rb

***

GGA-PBE AcCeSi2Ir2, optimized geometry; electronic total energy = -7.330 eV per atom; space group = P-3m1 (164)
1.0
4.191 0.000 0.000
-2.095 3.629 0.000
0.000 0.000 8.605
Si Ir Ce Ac
2 2 1 1
direct
0.333 0.667 0.266 Si
0.667 0.333 0.734 Si
0.333 0.667 0.727 Ir
0.667 0.333 0.273 Ir
0.000 0.000 0.500 Ce
0.000 0.000 0.000 Ac

***

GGA-PBE AcCeNdAu, optimized geometry; electronic total energy = -4.532 eV per atom; space group = F-43m (216); formation enthalpy at 0 K = -10 meV/atom
1.0
-2.267 3.306 3.768
1.963 0.066 5.139
2.767 4.388 1.832
Ce Nd Au Ac
1 1 1 1
direct
0.000 0.000 0.000 Ce
0.500 0.500 0.500 Nd
0.250 0.250 0.250 Au
0.750 0.750 0.750 Ac

***

GGA-PBE Dy2Sc3Zn2, optimized geometry; electronic total energy = -4.518 eV per atom; space group = C2/m (12); formation enthalpy at 0 K = -126 meV/atom
1.0
4.615 0.000 0.000
-2.308 5.419 -0.312
0.000 -2.877 6.913
Dy Sc Zn
2 3 2
direct
0.137 0.274 0.781 Dy
0.863 0.726 0.219 Dy
0.636 0.271 0.457 Sc
0.364 0.729 0.543 Sc
0.500 0.000 0.000 Sc
0.860 0.719 0.808 Zn
0.140 0.281 0.192 Zn